VASP calculation (PBE-GGA) on crystalline Mg2HCl at its relaxed geometry.

Unit cell a=6.644 b=6.644 c=6.644 alpha=90.00 beta=90.00 gamma=90.00
Space group Fm-3m (No. 225)
Unique sites:
Mg 0.250 0.250 0.250
H 0.000 0.000 0.000
Cl 0.000 0.000 0.500

Values from the calculation:
Energy relative to the lowest polymorph listed for this composition in eV per atom: 0.3696
E_tot in eV/atom: -2.0270
Magnetization in μB/cell: 0.00

VASP calculation (PBE-GGA) on crystalline CePr2Rh at its relaxed geometry.

Unit cell a=3.606 b=3.606 c=8.634 alpha=90.00 beta=90.00 gamma=90.00
Space group P4/mmm (No. 123)
Unique sites:
Ce 0.000 0.000 0.000
Pr 0.500 0.500 0.302
Rh 0.000 0.000 0.500

Values from the calculation:
Formation energy in eV per atom: -0.20
Energy relative to the lowest polymorph listed for this composition in eV per atom: 0.1810
E_tot in eV/atom: -5.9138
Magnetization in μB/cell: 1.48

VASP calculation (PBE-GGA) on crystalline SrAc12Sm3 at its relaxed geometry.

Unit cell a=5.569 b=5.569 c=22.253 alpha=90.00 beta=90.00 gamma=90.00
Space group P4/mmm (No. 123)
Unique sites:
Sr 0.000 0.000 0.000
Ac 0.000 0.500 0.132
Ac 0.000 0.500 0.377
Ac 0.500 0.500 0.000
Ac 0.500 0.500 0.254
Ac 0.500 0.500 0.500
Sm 0.000 0.000 0.253
Sm 0.000 0.000 0.500

Values from the calculation:
Formation energy in eV per atom: 0.04
E_tot in eV/atom: -4.0338
Magnetization in μB/cell: 0.00

Ρ values, unit Mg/m³, following the record order: 1.927 7.763 7.850.